# Ce2PmTl

A relaxed Ce2PmTl crystal (PBE, Alexandria).

The calculated formation energy comes out at 5 kJ/mol of atoms. The crystal system is cubic. Its symmetry is Fm-3m.

Geometry as CIF:
```
data_Ce2PmTl
_cell_length_a 5.5432
_cell_length_b 5.5432
_cell_length_c 5.5432
_cell_angle_alpha 60.00
_cell_angle_beta 60.00
_cell_angle_gamma 60.00
_symmetry_space_group_name_H-M 'P 1'
_symmetry_Int_Tables_number 1
_symmetry_space_group_name_Hall 'P 1'
loop_
_atom_site_label
_atom_site_type_symbol
_atom_site_fract_x
_atom_site_fract_y
_atom_site_fract_z
_atom_site_occupancy
Tl1 Tl 0.5000 0.5000 0.5000 1
Ce1 Ce 0.2500 0.2500 0.2500 1
Ce2 Ce 0.7500 0.7500 0.7500 1
Pm1 Pm 0.0000 0.0000 0.0000 1
```



# CeThS2

A relaxed CeThS2 crystal (PBE, Alexandria).

The calculation puts the uncorrected formation energy at -1807 meV per atom. The crystal system is trigonal. Its symmetry is R3m.

Geometry as CIF:
```
data_CeThS2
_cell_length_a 3.8988
_cell_length_b 3.8988
_cell_length_c 7.5704
_cell_angle_alpha 75.08
_cell_angle_beta 75.08
_cell_angle_gamma 60.00
_symmetry_space_group_name_H-M 'P 1'
_symmetry_Int_Tables_number 1
_symmetry_space_group_name_Hall 'P 1'
loop_
_atom_site_label
_atom_site_type_symbol
_atom_site_fract_x
_atom_site_fract_y
_atom_site_fract_z
_atom_site_occupancy
Ce1 Ce 0.6706 0.6706 0.9882 1
Th1 Th 0.4963 0.4963 0.5112 1
S1 S 0.0821 0.0821 0.7538 1
S2 S 0.2511 0.2511 0.2468 1
```



Excess energy over the best structure of this formula in the dataset across the listed records, respectively: 213.2 148.1 meV/atom.
Uncorrected energy across the listed records, respectively: -18.79 -28.84 eV for the cell shown.